An optimized crystal structure of BaPtSO. Source: OQMD, functional PBE.

Values from the calculation:
Energy above the most stable polymorph in this dataset = 582 meV per atom
DFT total energy = -5.031 eV/atom

Cell: 3.7789 3.7789 12.1131 Å, 90.00 90.00 90.00°
Positions (direct):
Ba (0.2500, 0.2500, 0.3713)
S (0.2500, 0.2500, 0.0990)
Pt (0.2500, 0.2500, 0.9024)
O (0.2500, 0.7500, 0.5000)
Pt (0.7500, 0.7500, 0.0976)
Ba (0.7500, 0.7500, 0.6287)
O (0.7500, 0.2500, 0.5000)
S (0.7500, 0.7500, 0.9010)